{"formula": "CrCd2GaCo", "functional": "GGA-PBE", "state": "optimized geometry", "lattice": [[-2.060, 4.111, -2.535], [-3.367, -0.261, 2.314], [2.162, 3.250, 3.512]], "species": ["Cr", "Cd", "Co", "Ga", "Cd"], "frac_coords": [[0.000, 0.000, 0.000], [0.500, 0.000, 0.000], [0.000, 0.500, 0.000], [0.500, 0.500, 0.500], [0.000, 0.000, 0.500]], "ef_ev_per_atom": 0.9332, "total_magnetization_mub_per_cell": 2.6, "sg": "P4/mmm, No. 123", "total_energy_ev_per_atom": -3.38}

=====

{"formula": "CrCdCoHg2", "functional": "GGA-PBE", "state": "optimized geometry", "lattice": [[5.307, 0.000, 0.000], [0.000, 5.264, 0.000], [0.000, 0.000, 5.307]], "species": ["Co", "Cr", "Hg", "Cd", "Hg"], "frac_coords": [[0.500, 0.500, 0.500], [0.000, 0.500, 0.000], [0.000, 0.000, 0.500], [0.000, 0.000, 0.000], [0.500, 0.000, 0.000]], "ef_ev_per_atom": 1.3929, "total_magnetization_mub_per_cell": 7.0, "sg": "P4/mmm, No. 123", "total_energy_ev_per_atom": -2.26}

=====

{"formula": "Cr2CdInCo", "functional": "GGA-PBE", "state": "optimized geometry", "lattice": [[-1.202, 4.724, 1.437], [-4.374, -1.461, 1.142], [1.578, -1.034, 4.719]], "species": ["Cr", "Cr", "In", "Co", "Cd"], "frac_coords": [[0.000, 0.000, 0.500], [0.500, 0.000, 0.000], [0.000, 0.000, 0.000], [0.000, 0.500, 0.000], [0.500, 0.500, 0.500]], "ef_ev_per_atom": 1.3809, "total_magnetization_mub_per_cell": 9.8, "sg": "P4/mmm, No. 123", "total_energy_ev_per_atom": -4.62}

=====

{"formula": "Mg2CrCdCo", "functional": "GGA-PBE", "state": "optimized geometry", "lattice": [[5.055, 0.000, 0.000], [0.000, 4.825, 0.000], [0.000, 0.000, 5.055]], "species": ["Mg", "Mg", "Cd", "Cr", "Co"], "frac_coords": [[0.500, 0.000, 0.000], [0.000, 0.000, 0.500], [0.000, 0.000, 0.000], [0.500, 0.500, 0.500], [0.000, 0.500, 0.000]], "ef_ev_per_atom": 1.1132, "total_magnetization_mub_per_cell": 6.1, "sg": "P4/mmm, No. 123", "total_energy_ev_per_atom": -3.05}